(P)
PBE-GGA CrCuTcB2, optimized geometry; space group = No. 123; D(E_F) = 5.8 states/eV per cell
1.0
3.6588 0.0000 0.0000
0.0000 4.5657 0.0000
0.0000 0.0000 3.6588
B Cr Cu Tc
2 1 1 1
direct
0.0000 0.0000 0.5000
0.5000 0.0000 0.0000
0.0000 0.5000 0.0000
0.0000 0.0000 0.0000
0.5000 0.5000 0.5000


(Q)
PBE-GGA CrCuTcB2, optimized geometry; space group = No. 123; D(E_F) = 4.4 states/eV per cell
1.0
-1.7133 -0.0990 3.6975
3.3243 -1.8280 1.4915
1.8307 4.1112 0.9583
Cr Tc B Cu
1 1 2 1
direct
0.0000 0.0000 0.5000
0.0000 0.0000 0.0000
0.5000 0.0000 0.0000
0.0000 0.5000 0.0000
0.5000 0.5000 0.5000


What should be chosen as the least stable of them? Choose (P).